The following is a PBE with a Hubbard U calculation of crystalline CdMoP2O at its relaxed geometry, from Alexandria.

Results
Final energy   -23.8 eV/f.u.
Symmetry   No. 123
DOS at the Fermi energy   1.0 states/eV/f.u.

a b c (Å): 4.9112 4.9112 3.8132
angles (deg): 90.00 90.00 90.00
Closest atoms and distances in Å follow each position.
Element x y z (fractional)
Cd (0.0000, 0.0000, 0.0000)  8 P 3.11, 4 O 3.47
Mo (0.5000, 0.5000, 0.5000)  2 O 1.91
P (0.0000, 0.5000, 0.5000)  2 Mo 2.46
P (0.5000, 0.0000, 0.5000)  2 Mo 2.46
O (0.5000, 0.5000, 0.0000)  2 Mo 1.91